1.
Computed, not measured: GaCu2ReC after structural relaxation at the PBE-GGA level of DFT.

abc: 3.919 4.110 3.919
angles: 90.00 90.00 90.00
Sites, in units of the cell vectors:
Cu 0.500 0.000 0.000
Cu 0.000 0.000 0.500
Ga 0.500 0.500 0.500
C 0.000 0.000 0.000
Re 0.000 0.500 0.000

Values from the calculation:
magnetization	0.00	μB per formula unit
V	63.14	Å³/f.u.
energy relative to the elements	0.423	eV/atom
space group	P4/mmm, No. 123


2.
Computed, not measured: Sc2GaCuC after structural relaxation at the PBE-GGA level of DFT.

abc: 4.503 4.503 3.911
angles: 90.00 90.00 90.00
Sites, in units of the cell vectors:
C 0.000 0.000 0.000
Sc 0.500 0.000 0.000
Sc 0.000 0.500 0.000
Cu 0.000 0.000 0.500
Ga 0.500 0.500 0.500

Values from the calculation:
magnetization	0.00	μB per formula unit
V	79.30	Å³/f.u.
energy relative to the elements	-0.343	eV/atom
space group	P4/mmm, No. 123


3.
Computed, not measured: Ga2CuSiC after structural relaxation at the PBE-GGA level of DFT.

abc: 4.844 4.370 4.844
angles: 90.00 90.00 90.00
Sites, in units of the cell vectors:
Ga 0.000 0.000 0.500
Ga 0.500 0.000 0.000
C 0.500 0.500 0.500
Cu 0.000 0.500 0.000
Si 0.000 0.000 0.000

Values from the calculation:
magnetization	1.98	μB per formula unit
V	102.55	Å³/f.u.
VASP energy	-3.3805	eV/atom
space group	P4/mmm, No. 123


4.
Computed, not measured: Th2GaCuC after structural relaxation at the PBE-GGA level of DFT.

abc: 3.865 6.816 8.425
angles: 107.56 90.00 90.00
Sites, in units of the cell vectors:
Th 0.750 0.785 0.035
Th 0.750 0.808 0.616
Th 0.250 0.215 0.965
Th 0.250 0.192 0.384
Cu 0.250 0.540 0.749
Cu 0.750 0.460 0.251
Ga 0.250 0.695 0.306
Ga 0.750 0.305 0.694
C 0.750 0.153 0.168
C 0.250 0.847 0.832

Values from the calculation:
magnetization	0.00	μB per formula unit
V	105.79	Å³/f.u.
energy relative to the elements	-0.317	eV/atom
space group	P2_1/m, No. 11


The highest magnetization belongs to which entry?
Ga2CuSiC


Look up the magnetization of the first one.
0.00 μB per formula unit


magnetization of number 3 (Ga2CuSiC)?
1.98 μB per formula unit


What is the formula in the third record?
Ga2CuSiC